This record from Alexandria via LeMat-Bulk describes a geometry-optimized SrCN3 structure. The functional is PBE.

Geometry as CIF:
```
data_SrCN3
_chemical_formula_sum 'Sr1 C1 N3'
_symmetry_space_group_name_H-M 'P m -3 m'
_symmetry_Int_Tables_number 221
_symmetry_space_group_name_Hall '-P 4 2 3'
_cell_length_a 3.6465
_cell_length_b 3.6465
_cell_length_c 3.6465
_cell_angle_alpha 90.00
_cell_angle_beta 90.00
_cell_angle_gamma 90.00
loop_
_atom_site_label
_atom_site_type_symbol
_atom_site_fract_x
_atom_site_fract_y
_atom_site_fract_z
_atom_site_occupancy
Sr1 Sr 0.0000 0.0000 0.0000 1
C1 C 0.5000 0.5000 0.5000 1
N1 N 0.0000 0.5000 0.5000 1
```

Values from the calculation:
Its uncorrected formation energy is 9.18 eV per formula unit. The total energy is -5.340 eV per atom. As for the crystal system: cubic.



This record from Alexandria via LeMat-Bulk describes a geometry-optimized SrC2N structure. The functional is PBE.

Geometry as CIF:
```
data_SrC2N
_chemical_formula_sum 'Sr4 C8 N4'
_symmetry_space_group_name_H-M 'I 41/a m d'
_symmetry_Int_Tables_number 141
_cell_length_a 3.5633
_cell_length_b 3.5633
_cell_length_c 14.7753
_cell_angle_alpha 90.00
_cell_angle_beta 90.00
_cell_angle_gamma 90.00
loop_
_symmetry_equiv_pos_as_xyz
'x,y,z'
'-x,-y,-z'
'-y+1/4,x+3/4,z+1/4'
'y+1/4,-x+3/4,-z+1/4'
'-x+1/2,-y,z+1/2'
'x+1/2,y,-z+1/2'
'y+1/4,-x+1/4,z+3/4'
'-y+1/4,x+1/4,-z+3/4'
'x,-y,-z'
'-x,y,z'
'-y+1/4,-x+1/4,-z+3/4'
'y+1/4,x+1/4,z+3/4'
'-x+1/2,y,-z+1/2'
'x+1/2,-y,z+1/2'
'y+1/4,x+3/4,-z+1/4'
'-y+1/4,-x+3/4,z+1/4'
'x+1/2,y+1/2,z+1/2'
'-x+1/2,-y+1/2,-z+1/2'
'-y+3/4,x+1/4,z+3/4'
'y+3/4,-x+1/4,-z+3/4'
'-x,-y+1/2,z'
'x,y+1/2,-z'
'y+3/4,-x+3/4,z+1/4'
'-y+3/4,x+3/4,-z+1/4'
'x+1/2,-y+1/2,-z+1/2'
'-x+1/2,y+1/2,z+1/2'
'-y+3/4,-x+3/4,-z+1/4'
'y+3/4,x+3/4,z+1/4'
'-x,y+1/2,-z'
'x,-y+1/2,z'
'y+3/4,x+1/4,-z+3/4'
'-y+3/4,-x+1/4,z+3/4'
loop_
_atom_site_label
_atom_site_type_symbol
_atom_site_fract_x
_atom_site_fract_y
_atom_site_fract_z
_atom_site_occupancy
Sr1 Sr 0.0000 0.2500 0.3750 1
C1 C 0.0000 0.0000 0.0000 1
N1 N 0.0000 0.2500 0.8750 1
```

Values from the calculation:
Its uncorrected formation energy is 6.45 eV per formula unit. The total energy is -5.502 eV per atom. As for the crystal system: tetragonal.



This record from Alexandria via LeMat-Bulk describes a geometry-optimized Sr2CN3 structure. The functional is PBE.

Geometry as CIF:
```
data_Sr2CN3
_chemical_formula_sum 'Sr16 C8 N24'
_symmetry_space_group_name_H-M 'F m m m'
_symmetry_Int_Tables_number 69
_symmetry_space_group_name_Hall '-F 2 2'
_cell_length_a 7.1496
_cell_length_b 10.3979
_cell_length_c 11.3898
_cell_angle_alpha 90.00
_cell_angle_beta 90.00
_cell_angle_gamma 90.00
loop_
_atom_site_label
_atom_site_type_symbol
_atom_site_fract_x
_atom_site_fract_y
_atom_site_fract_z
_atom_site_occupancy
Sr1 Sr 0.2405 0.0000 0.0000 1
Sr2 Sr 0.2500 0.2500 0.2500 1
C1 C 0.0000 0.0000 0.2150 1
N1 N 0.0000 0.0000 0.3342 1
N2 N 0.0000 0.1120 0.1510 1
```

Values from the calculation:
Its uncorrected formation energy is -2.87 eV per formula unit. The total energy is -6.738 eV per atom. As for the crystal system: orthorhombic.



This record from Alexandria via LeMat-Bulk describes a geometry-optimized Sr2CN2 structure. The functional is PBE.

Geometry as CIF:
```
data_Sr2CN2
_chemical_formula_sum 'Sr8 C4 N8'
_symmetry_space_group_name_H-M 'C m m e'
_symmetry_Int_Tables_number 67
_symmetry_space_group_name_Hall '-C 2a 2'
_cell_length_a 5.4277
_cell_length_b 10.8675
_cell_length_c 5.5134
_cell_angle_alpha 90.00
_cell_angle_beta 90.00
_cell_angle_gamma 90.00
loop_
_atom_site_label
_atom_site_type_symbol
_atom_site_fract_x
_atom_site_fract_y
_atom_site_fract_z
_atom_site_occupancy
Sr1 Sr 0.0000 0.1043 0.2431 1
C1 C 0.0000 0.2500 0.8468 1
N1 N 0.0000 0.1354 0.7476 1
```

Values from the calculation:
Its uncorrected formation energy is -2.16 eV per formula unit. The total energy is -6.280 eV per atom. As for the crystal system: orthorhombic.



This record from Alexandria via LeMat-Bulk describes a geometry-optimized Sr2CN structure. The functional is PBE.

Geometry as CIF:
```
data_Sr2CN
_chemical_formula_sum 'Sr8 C4 N4'
_symmetry_space_group_name_H-M 'I -4 2 d'
_symmetry_Int_Tables_number 122
_symmetry_space_group_name_Hall 'I -4 2bw'
_cell_length_a 6.7663
_cell_length_b 6.7663
_cell_length_c 8.3688
_cell_angle_alpha 90.00
_cell_angle_beta 90.00
_cell_angle_gamma 90.00
loop_
_atom_site_label
_atom_site_type_symbol
_atom_site_fract_x
_atom_site_fract_y
_atom_site_fract_z
_atom_site_occupancy
Sr1 Sr 0.2167 0.7500 0.1250 1
C1 C 0.0000 0.0000 0.5000 1
N1 N 0.0000 0.0000 0.0000 1
```

Values from the calculation:
Its uncorrected formation energy is 2.83 eV per formula unit. The total energy is -4.521 eV per atom. As for the crystal system: tetragonal.



This record from Alexandria via LeMat-Bulk describes a geometry-optimized Sr3C3N5 structure. The functional is PBE.

Geometry as CIF:
```
data_Sr3C3N5
_chemical_formula_sum 'Sr6 C6 N10'
_symmetry_space_group_name_H-M 'P -1'
_symmetry_Int_Tables_number 2
_symmetry_space_group_name_Hall '-P 1'
_cell_length_a 5.9887
_cell_length_b 7.2942
_cell_length_c 7.7510
_cell_angle_alpha 90.55
_cell_angle_beta 93.54
_cell_angle_gamma 101.75
loop_
_atom_site_label
_atom_site_type_symbol
_atom_site_fract_x
_atom_site_fract_y
_atom_site_fract_z
_atom_site_occupancy
Sr1 Sr 0.0814 0.0759 0.2194 1
Sr2 Sr 0.3223 0.6713 0.0845 1
Sr3 Sr 0.3432 0.7732 0.5780 1
C1 C 0.0958 0.4590 0.7448 1
C2 C 0.2047 0.2552 0.6348 1
C3 C 0.3387 0.0183 0.9681 1
N1 N 0.0226 0.7219 0.3205 1
N2 N 0.0242 0.6002 0.8047 1
N3 N 0.2699 0.1236 0.5538 1
N4 N 0.3218 0.4345 0.7096 1
N5 N 0.4894 0.0460 0.1254 1
```

Values from the calculation:
Its uncorrected formation energy is -4.38 eV per formula unit. The total energy is -7.157 eV per atom. As for the crystal system: triclinic.